1.
12
Lattice="3.650 -6.322 0.000 3.650 6.322 0.000 -2.441 0.000 6.966" Properties=species:S:1:pos:R:3 comment="Ho6AgTe3Se2 PBE-GGA optimized geometry" volume_a3_per_atom=26.79 sg="C2/m (12)" raw_formation_energy_kj_per_mol_fu=-1459 dos_at_fermi_per_ev_fu=5.24 pbc="T T T"
Ho 1.204 2.103 1.567
Ho -0.017 0.000 5.388
Ho 1.204 -2.103 1.567
Ho 3.655 2.103 5.398
Ho 4.876 0.000 1.578
Ho 3.655 -2.103 5.398
Ag 0.000 0.000 0.000
Te 2.430 4.182 3.483
Te 2.430 0.000 3.483
Te 2.430 -4.182 3.483
Se 3.650 2.092 0.000
Se 3.650 -2.092 0.000

=====

2.
4
Lattice="0.000 3.599 3.599 3.599 0.000 3.599 3.599 3.599 0.000" Properties=species:S:1:pos:R:3 comment="NdTmCdCo PBE-GGA optimized geometry" volume_a3_per_atom=23.30 sg="F-43m (216)" dos_at_fermi_per_ev_fu=2.43 formation_energy_ev_per_fu=-0.38 pbc="T T T"
Nd 0.000 0.000 0.000
Tm 3.599 3.599 3.599
Cd 5.398 5.398 5.398
Co 1.799 1.799 1.799

=====

3.
3
Lattice="0.000 3.017 3.017 3.017 0.000 3.017 3.017 3.017 0.000" Properties=species:S:1:pos:R:3 comment="MoIrW PBE-GGA optimized geometry" volume_a3_per_atom=18.31 sg="F-43m (216)" dos_at_fermi_per_ev_fu=4.48 formation_energy_ev_per_fu=1.79 pbc="T T T"
Mo 0.000 0.000 0.000
Ir 3.017 3.017 3.017
W 4.525 4.525 4.525

=====

4.
20
Lattice="6.720 3.880 3.735 -6.720 3.880 3.735 0.000 -7.760 3.735" Properties=species:S:1:pos:R:3 comment="Tl12ZnIn7 PBE-GGA optimized geometry" volume_a3_per_atom=29.21 sg="R-3 (148)" dos_at_fermi_per_ev_fu=8.13 formation_energy_ev_per_fu=0.66 pbc="T T T"
Tl -4.927 0.839 3.764
Tl -0.060 -1.974 2.781
Tl -1.680 1.039 2.781
Tl -3.190 -3.847 7.441
Tl 1.736 -4.686 3.764
Tl 1.739 0.935 2.781
Tl -1.739 -0.935 8.424
Tl -1.736 4.686 7.441
Tl 3.190 3.847 3.764
Tl 1.680 -1.039 8.424
Tl 0.060 1.974 8.424
Tl 4.927 -0.839 7.441
Zn 0.000 0.000 5.603
In 0.000 0.000 0.000
In -2.664 -1.490 5.045
In -0.042 -3.052 6.160
In -2.622 1.562 6.160
In 2.622 -1.562 5.045
In 0.042 3.052 5.045
In 2.664 1.490 6.160

=====

5.
4
Lattice="3.173 0.000 0.000 0.000 3.173 0.000 0.000 0.000 9.191" Properties=species:S:1:pos:R:3 comment="In2FeTe PBE-GGA optimized geometry" volume_a3_per_atom=23.13 sg="P4/mmm (123)" raw_formation_energy_kj_per_mol_fu=107 dos_at_fermi_per_ev_fu=3.46 pbc="T T T"
In 0.000 0.000 1.661
In 0.000 0.000 7.530
Fe 1.586 1.586 0.000
Te 1.586 1.586 4.596

=====

6.
3
Lattice="-1.681 1.681 4.389 1.681 -1.681 4.389 1.681 1.681 -4.389" Properties=species:S:1:pos:R:3 comment="TiAgPt PBE-GGA optimized geometry" volume_a3_per_atom=16.53 sg="I4mm (107)" dos_at_fermi_per_ev_fu=1.66 formation_energy_ev_per_fu=-1.50 pbc="T T T"
Ti 0.000 0.000 0.000
Ag 0.000 0.000 2.805
Pt 0.000 0.000 5.594